Computed, not measured: an optimized crystal structure of Cd13Pb2 at the PBE level of DFT. Values from VASP.

Calculated values
total magnetic moment: 0.000 μB/cell
energy: -0.0425 hartree per atom
DFT formation energy: 13 kJ/mol of atoms
symmetry: R-3m (166)

Structure (Quantum ESPRESSO input):
```
&SYSTEM
  ibrav = 0, nat = 15, ntyp = 2
/
ATOMIC_SPECIES
Pb 207.20 Pb.upf
Cd 112.41 Cd.upf
ATOMIC_POSITIONS angstrom
Pb 7.8763 4.5474 7.4034
Pb 7.8763 4.5474 0.7052
Cd 7.8763 4.5474 4.0543
Cd 7.8763 7.3566 2.0111
Cd 5.4435 3.1428 2.0111
Cd 10.3092 3.1428 2.0111
Cd 5.4435 5.9520 6.0976
Cd 7.8763 1.7382 6.0976
Cd 10.3092 5.9520 6.0976
Cd 7.8763 7.3928 5.1792
Cd 5.4121 3.1247 5.1792
Cd 10.3405 3.1247 5.1792
Cd 5.4121 5.9701 2.9295
Cd 7.8763 1.7020 2.9295
Cd 10.3405 5.9701 2.9295
CELL_PARAMETERS angstrom
7.8763 0.0000 0.0000
3.9382 6.8211 0.0000
3.9382 2.2737 8.1086
```